Record 1
Computed, not measured: a relaxed Co3Re4PbO12 crystal at the PBE with a Hubbard U level of DFT.

- E_tot (eV per cell) = -149.1
- symmetry = No. 204
- mass density (g/cm3) = 10.3

abc: 6.5142 6.5142 6.5142
angles: 109.47 109.47 109.47
Last column: nearest neighbours and their distance in Å.
Sites, in units of the cell vectors:
Co: 0.5000 0.5000 0.0000  4 O 1.96
Co: 0.5000 0.0000 0.5000  4 O 1.96
Co: 0.0000 0.5000 0.5000  4 O 1.96
O: 0.3146 0.8172 0.1318  1 Co 1.96, 2 Re 2.01
O: 0.4974 0.3146 0.1828  1 Co 1.96, 2 Re 2.01
O: 0.8682 0.6854 0.1828  1 Co 1.96, 2 Re 2.01
O: 0.8172 0.1318 0.3146  1 Co 1.96, 2 Re 2.01
O: 0.1828 0.4974 0.3146  1 Co 1.96, 2 Re 2.01
O: 0.3146 0.1828 0.4974  1 Co 1.96, 2 Re 2.01
O: 0.6854 0.8172 0.5026  1 Co 1.96, 2 Re 2.01
O: 0.1828 0.8682 0.6854  1 Co 1.96, 2 Re 2.01
O: 0.8172 0.5026 0.6854  1 Co 1.96, 2 Re 2.01
O: 0.1318 0.3146 0.8172  1 Co 1.96, 2 Re 2.01
O: 0.5026 0.6854 0.8172  1 Co 1.96, 2 Re 2.01
O: 0.6854 0.1828 0.8682  1 Co 1.96, 2 Re 2.01
Pb: 0.0000 0.0000 0.0000  12 O 2.74
Re: 0.5000 0.0000 0.0000  6 O 2.01
Re: 0.0000 0.5000 0.0000  6 O 2.01
Re: 0.0000 0.0000 0.5000  6 O 2.01
Re: 0.5000 0.5000 0.5000  6 O 2.01


Record 2
Computed, not measured: a relaxed Dy2HoCo2B2O3 crystal at the PBE with a Hubbard U level of DFT.

- E_tot (eV per cell) = -68.8
- symmetry = No. 139
- mass density (g/cm3) = 9.1

abc: 10.9412 10.9412 10.9412
angles: 162.12 162.12 25.39
Last column: nearest neighbours and their distance in Å.
Sites, in units of the cell vectors:
B: 0.2097 0.2097 0.0000  4 Co 1.91
B: 0.7903 0.7903 0.0000  4 Co 1.91
Co: 0.7500 0.2500 0.5000  4 B 1.91
Co: 0.2500 0.7500 0.5000  4 B 1.91
Dy: 0.3630 0.3630 0.0000  4 O 2.51
Dy: 0.6370 0.6370 0.0000  4 O 2.51
Ho: 0.0000 0.0000 0.0000  6 O 2.19-2.40
O: 0.1026 0.1026 0.0000  1 Ho 2.19, 1 B 2.29
O: 0.5000 0.5000 0.0000  4 Ho 2.40
O: 0.8974 0.8974 0.0000  1 Ho 2.19, 1 B 2.29